Record 1
Computed, not measured: a relaxed BaSb2Br crystal at the PBE level of DFT.

The structure belongs to space group Imm2 (No. 44); the cell edges are 4.4512, 6.6707 and 9.6153 Å and the angles 90.00°, 90.00° and 90.00°. The distinct sites, in fractional coordinates, are Ba at (0.0000, 0.0000, 0.0000), Sb at (0.0000, 0.0000, 0.5085), Sb at (0.0000, 0.5000, 0.1959) and Br at (0.0000, 0.5000, 0.7447).

The value obtained for the energy relative to the elements, uncorrected is -80.1 kJ/mol of atoms. Its total energy is -3.79 eV/atom.


Record 2
Computed, not measured: a relaxed BaLa2Ru crystal at the PBE level of DFT.

The structure belongs to space group C2/m (No. 12); the cell edges are 7.3207, 4.2189 and 10.4493 Å and the angles 90.00°, 103.29° and 90.00°. The distinct sites, in fractional coordinates, are Ba at (0.0000, 0.0000, 0.0000), La at (0.2142, 0.0000, 0.6452) and Ru at (0.0000, 0.5000, 0.5000).

Its energy of formation from the pure elements is -0.159 eV per atom. Its total energy is -5.42 eV/atom.


Record 3
Computed, not measured: a relaxed ScHgRh crystal at the PBE level of DFT.

The structure belongs to space group F-43m (No. 216); the cell edges are 6.3736, 6.3736 and 6.3736 Å and the angles 90.00°, 90.00° and 90.00°. The distinct sites, in fractional coordinates, are Sc at (0.0000, 0.0000, 0.0000), Hg at (0.2500, 0.2500, 0.2500) and Rh at (0.2500, 0.2500, 0.7500).

Its energy of formation from the pure elements is -0.101 eV per atom. Its total energy is -4.76 eV/atom.


Record 4
Computed, not measured: a relaxed BaSnHg2Au crystal at the PBE level of DFT.

The structure belongs to space group Imm2 (No. 44); the cell edges are 4.7977, 4.8589 and 12.2712 Å and the angles 90.00°, 90.00° and 90.00°. The distinct sites, in fractional coordinates, are Ba at (0.0000, 0.0000, 0.0000), Sn at (0.0000, 0.5000, 0.7602), Hg at (0.0000, 0.0000, 0.6109), Hg at (0.0000, 0.5000, 0.2551) and Au at (0.0000, 0.0000, 0.3829).

Its energy of formation from the pure elements is -0.429 eV per atom. Its total energy is -2.39 eV/atom.


Copy entry 4 word for word.
Computed, not measured: a relaxed BaSnHg2Au crystal at the PBE level of DFT.

The structure belongs to space group Imm2 (No. 44); the cell edges are 4.7977, 4.8589 and 12.2712 Å and the angles 90.00°, 90.00° and 90.00°. The distinct sites, in fractional coordinates, are Ba at (0.0000, 0.0000, 0.0000), Sn at (0.0000, 0.5000, 0.7602), Hg at (0.0000, 0.0000, 0.6109), Hg at (0.0000, 0.5000, 0.2551) and Au at (0.0000, 0.0000, 0.3829).

Its energy of formation from the pure elements is -0.429 eV per atom. Its total energy is -2.39 eV/atom.